# TeSBr, relaxed, DFT PBE
# Polymorph energy (0 for the lowest one) in eV/atom: 0.0134
data_TeSBr
_chemical_formula_sum 'Te4 S4 Br4'
_space_group_name_H-M_alt 'P 1 21/c 1'
_space_group_IT_number 14
_cell_length_a 6.822
_cell_length_b 9.071
_cell_length_c 8.063
_cell_angle_alpha 90.00
_cell_angle_beta 96.35
_cell_angle_gamma 90.00
loop_
_space_group_symop_operation_xyz
'x,y,z'
'-x,-y,-z'
'-x,y+1/2,-z+1/2'
'x,-y+1/2,z+1/2'
loop_
_atom_site_label
_atom_site_type_symbol
_atom_site_fract_x
_atom_site_fract_y
_atom_site_fract_z
Te1 Te 0.049 0.097 0.296
S1 S 0.237 0.092 0.544
Br1 Br 0.205 0.645 0.641

Density functional theory data (PBE) for crystalline TeS5Br at its relaxed geometry.

```
data_TeS5Br
_chemical_formula_sum 'Te1 S5 Br1'
_space_group_name_H-M_alt 'P 1'
_space_group_IT_number 1
_cell_length_a 4.239
_cell_length_b 7.077
_cell_length_c 7.822
_cell_angle_alpha 81.63
_cell_angle_beta 86.20
_cell_angle_gamma 73.54
loop_
_space_group_symop_operation_xyz
'x,y,z'
loop_
_atom_site_label
_atom_site_type_symbol
_atom_site_fract_x
_atom_site_fract_y
_atom_site_fract_z
Te1 Te 0.000 0.000 0.000
S1 S 0.296 0.234 0.288
S2 S 0.542 0.793 0.722
S3 S 0.584 0.216 0.852
S4 S 0.680 0.003 0.319
S5 S 0.921 0.682 0.864
Br1 Br 0.436 0.521 0.315
```

# TeSBr, relaxed, DFT PBE
# Polymorph energy (0 for the lowest one) in eV/atom: 0.0873
data_TeSBr
_chemical_formula_sum 'Te2 S2 Br2'
_space_group_name_H-M_alt 'P 1'
_space_group_IT_number 1
_cell_length_a 5.636
_cell_length_b 5.912
_cell_length_c 6.967
_cell_angle_alpha 76.55
_cell_angle_beta 72.10
_cell_angle_gamma 89.40
loop_
_space_group_symop_operation_xyz
'x,y,z'
loop_
_atom_site_label
_atom_site_type_symbol
_atom_site_fract_x
_atom_site_fract_y
_atom_site_fract_z
Te1 Te 0.000 0.000 0.000
Te2 Te 0.128 0.653 0.569
S1 S 0.320 0.951 0.160
S2 S 0.935 0.404 0.943
Br1 Br 0.211 0.310 0.392
Br2 Br 0.627 0.708 0.567

Density functional theory data (PBE) for crystalline Te2S8Br at its relaxed geometry.

```
data_Te2S8Br
_chemical_formula_sum 'Te2 S8 Br1'
_space_group_name_H-M_alt 'P -1'
_space_group_IT_number 2
_cell_length_a 6.733
_cell_length_b 7.655
_cell_length_c 8.125
_cell_angle_alpha 96.83
_cell_angle_beta 100.77
_cell_angle_gamma 106.78
loop_
_space_group_symop_operation_xyz
'x,y,z'
'-x,-y,-z'
loop_
_atom_site_label
_atom_site_type_symbol
_atom_site_fract_x
_atom_site_fract_y
_atom_site_fract_z
Te1 Te 0.237 0.105 0.436
S1 S 0.016 0.786 0.428
S2 S 0.283 0.678 0.121
S3 S 0.416 0.590 0.940
S4 S 0.488 0.928 0.258
Br1 Br 0.500 0.500 0.500
```

no.,raw formation energy (eV/atom)
1,-0.0851
2,0.1249
3,-0.0112
4,0.0745